Ac2PmHg2: optimized geometry, PBE.

Formation enthalpy at 0 K ... -0.3216 eV/atom
Calculated total energy ... -15.179 eV per formula unit
D(E_F) ... 10.5 states/eV per cell
Distance to the lowest polymorph of the same formula ... 0 meV per atom
Total moment ... 0.000 μB per atom

Structure (CIF):
```
data_Ac2PmHg2
_cell_length_a 4.184
_cell_length_b 7.665
_cell_length_c 10.899
_cell_angle_alpha 90.00
_cell_angle_beta 90.00
_cell_angle_gamma 90.00
_symmetry_space_group_name_H-M 'I m m m'
_symmetry_Int_Tables_number 71
_symmetry_space_group_name_Hall '-I 2 2'
loop_
_atom_site_label
_atom_site_type_symbol
_atom_site_fract_x
_atom_site_fract_y
_atom_site_fract_z
Ac1 Ac 0.000 0.000 0.208
Pm1 Pm 0.000 0.500 0.000
Hg1 Hg 0.000 0.297 0.500
```

---

Ac2PmHg: optimized geometry, PBE.

Formation enthalpy at 0 K ... 0.1066 eV/atom
Calculated total energy ... -12.843 eV per formula unit
D(E_F) ... 17.4 states/eV per cell
Distance to the lowest polymorph of the same formula ... 323 meV per atom
Total moment ... 0.000 μB per atom

Structure (CIF):
```
data_Ac2PmHg
_cell_length_a 3.8285
_cell_length_b 3.8285
_cell_length_c 38.5976
_cell_angle_alpha 90.00
_cell_angle_beta 90.00
_cell_angle_gamma 120.00
_symmetry_space_group_name_H-M 'R -3 m'
_symmetry_Int_Tables_number 166
_symmetry_space_group_name_Hall '-R 3 2"'
loop_
_atom_site_label
_atom_site_type_symbol
_atom_site_fract_x
_atom_site_fract_y
_atom_site_fract_z
Ac1 Ac 0.0000 0.0000 0.0881
Pm1 Pm 0.0000 0.0000 0.5000
Hg1 Hg 0.0000 0.0000 0.0000
```

---

Question: Number 2 is which compound?
Answer: Ac2PmHg